# 1
# La5Te4C (PBE-GGA, optimized geometry)
# * calculated density: 6.4 Mg/m³
# * total DFT energy (no corrections): -5.8977 eV per atom
data_La5Te4C
_chemical_formula_sum 'La10 Te8 C2'
_cell_length_a 9.9355
_cell_length_b 9.9355
_cell_length_c 6.4246
_cell_angle_alpha 90.00
_cell_angle_beta 90.00
_cell_angle_gamma 90.00
_symmetry_space_group_name_H-M 'I 4'
_symmetry_Int_Tables_number 79
loop_
_symmetry_equiv_pos_as_xyz
'x,y,z'
'-y,x,z'
'-x,-y,z'
'y,-x,z'
'x+1/2,y+1/2,z+1/2'
'-y+1/2,x+1/2,z+1/2'
'-x+1/2,-y+1/2,z+1/2'
'y+1/2,-x+1/2,z+1/2'
loop_
_atom_site_label
_atom_site_fract_x
_atom_site_fract_y
_atom_site_fract_z
La1 0.0000 0.0000 0.0000
La2 0.0922 0.2546 0.4419
Te1 0.0858 0.3084 0.9436
C1 0.0000 0.0000 0.3949

# 2
# BaHBr (PBE-GGA, optimized geometry)
# * calculated density: 3.8 Mg/m³
# * total DFT energy (no corrections): -3.6288 eV per atom
data_BaHBr
_chemical_formula_sum 'Ba2 H2 Br2'
_cell_length_a 4.6456
_cell_length_b 6.0184
_cell_length_c 6.9104
_cell_angle_alpha 90.00
_cell_angle_beta 90.00
_cell_angle_gamma 90.00
_symmetry_space_group_name_H-M 'P m n 21'
_symmetry_Int_Tables_number 31
loop_
_symmetry_equiv_pos_as_xyz
'x,y,z'
'-x+1/2,-y,z+1/2'
'-x,y,z'
'x+1/2,-y,z+1/2'
loop_
_atom_site_label
_atom_site_fract_x
_atom_site_fract_y
_atom_site_fract_z
Ba1 0.0000 0.1507 0.0000
H1 0.0000 0.9127 0.3212
Br1 0.0000 0.6517 0.7996

# 3
# HIrS (PBE-GGA, optimized geometry)
# * calculated density: 8.2 Mg/m³
# * total DFT energy (no corrections): -5.5356 eV per atom
data_HIrS
_chemical_formula_sum 'H4 Ir4 S4'
_cell_length_a 6.5844
_cell_length_b 5.4455
_cell_length_c 5.6635
_cell_angle_alpha 90.00
_cell_angle_beta 115.32
_cell_angle_gamma 90.00
_symmetry_space_group_name_H-M 'P 1 21/c 1'
_symmetry_Int_Tables_number 14
loop_
_symmetry_equiv_pos_as_xyz
'x,y,z'
'-x,-y,-z'
'-x,y+1/2,-z+1/2'
'x,-y+1/2,z+1/2'
loop_
_atom_site_label
_atom_site_fract_x
_atom_site_fract_y
_atom_site_fract_z
H1 0.2452 0.0487 0.2086
Ir1 0.0513 0.6055 0.7420
S1 0.2504 0.5731 0.1910

# 4
# YThBe (PBE-GGA, optimized geometry)
# * calculated density: 7.4 Mg/m³
# * total DFT energy (no corrections): -5.7096 eV per atom
# * ΔE to the lowest computed polymorph: 5 meV/atom
# * DFT formation energy: 160 meV per atom
data_YThBe
_chemical_formula_sum 'Y16 Th16 Be16'
_cell_length_a 5.9035
_cell_length_b 9.9949
_cell_length_c 20.0352
_cell_angle_alpha 90.00
_cell_angle_beta 90.00
_cell_angle_gamma 90.00
_symmetry_space_group_name_H-M 'F d d d'
_symmetry_Int_Tables_number 70
loop_
_symmetry_equiv_pos_as_xyz
'x,y,z'
'-x,-y,-z'
'-x+1/4,-y+1/4,z'
'x+1/4,y+1/4,-z'
'x,-y+1/4,-z+1/4'
'-x,y+1/4,z+1/4'
'-x+1/4,y,-z+1/4'
'x+1/4,-y,z+1/4'
'x,y+1/2,z+1/2'
'-x,-y+1/2,-z+1/2'
'-x+1/4,-y+3/4,z+1/2'
'x+1/4,y+3/4,-z+1/2'
'x,-y+3/4,-z+3/4'
'-x,y+3/4,z+3/4'
'-x+1/4,y+1/2,-z+3/4'
'x+1/4,-y+1/2,z+3/4'
'x+1/2,y,z+1/2'
'-x+1/2,-y,-z+1/2'
'-x+3/4,-y+1/4,z+1/2'
'x+3/4,y+1/4,-z+1/2'
'x+1/2,-y+1/4,-z+3/4'
'-x+1/2,y+1/4,z+3/4'
'-x+3/4,y,-z+3/4'
'x+3/4,-y,z+3/4'
'x+1/2,y+1/2,z'
'-x+1/2,-y+1/2,-z'
'-x+3/4,-y+3/4,z'
'x+3/4,y+3/4,-z'
'x+1/2,-y+3/4,-z+1/4'
'-x+1/2,y+3/4,z+1/4'
'-x+3/4,y+1/2,-z+1/4'
'x+3/4,-y+1/2,z+1/4'
loop_
_atom_site_label
_atom_site_fract_x
_atom_site_fract_y
_atom_site_fract_z
Y1 0.1250 0.2953 0.1250
Th1 0.1250 0.1250 0.5407
Be1 0.1250 0.1250 0.2509

# 5
# RbGaF3 (PBE-GGA, optimized geometry)
# * calculated density: 3.5 Mg/m³
# * total DFT energy (no corrections): -4.5044 eV per atom
data_RbGaF3
_chemical_formula_sum 'Rb2 Ga2 F6'
_cell_length_a 4.4322
_cell_length_b 6.9378
_cell_length_c 7.1367
_cell_angle_alpha 66.43
_cell_angle_beta 82.40
_cell_angle_gamma 87.70
_symmetry_space_group_name_H-M 'P 1'
_symmetry_Int_Tables_number 1
loop_
_symmetry_equiv_pos_as_xyz
'x,y,z'
loop_
_atom_site_label
_atom_site_fract_x
_atom_site_fract_y
_atom_site_fract_z
Rb1 0.0000 0.0000 0.0000
Rb2 0.1569 0.6512 0.6521
Ga1 0.4679 0.4739 0.1849
Ga2 0.6842 0.2036 0.4628
F1 0.0646 0.5192 0.1300
F2 0.4902 0.9901 0.6963
F3 0.4966 0.7371 0.1971
F4 0.5992 0.4769 0.9248
F5 0.9226 0.3066 0.5994
F6 0.9543 0.0322 0.3791

# 6
# KThGaS4 (PBE-GGA, optimized geometry)
# * calculated density: 4.2 Mg/m³
# * total DFT energy (no corrections): -5.4225 eV per atom
data_KThGaS4
_chemical_formula_sum 'K2 Th2 Ga2 S8'
_cell_length_a 6.6103
_cell_length_b 6.6788
_cell_length_c 8.9078
_cell_angle_alpha 90.00
_cell_angle_beta 107.57
_cell_angle_gamma 90.00
_symmetry_space_group_name_H-M 'P 1 21/m 1'
_symmetry_Int_Tables_number 11
loop_
_symmetry_equiv_pos_as_xyz
'x,y,z'
'-x,-y,-z'
'-x,y+1/2,-z'
'x,-y+1/2,z'
loop_
_atom_site_label
_atom_site_fract_x
_atom_site_fract_y
_atom_site_fract_z
K1 0.2317 0.2500 0.4372
Th1 0.2678 0.2500 0.9449
Ga1 0.2724 0.7500 0.1747
S1 0.0612 0.7500 0.9183
S2 0.0674 0.7500 0.3347
S3 0.4914 0.5092 0.7930

# 7
# Ac12PrPb6 (PBE-GGA, optimized geometry)
# * calculated density: 8.5 Mg/m³
# * total DFT energy (no corrections): -4.1801 eV per atom
# * DFT formation energy: -163 meV per atom
data_Ac12PrPb6
_chemical_formula_sum 'Ac36 Pr3 Pb18'
_cell_length_a 16.0909
_cell_length_b 16.0909
_cell_length_c 10.7881
_cell_angle_alpha 90.00
_cell_angle_beta 90.00
_cell_angle_gamma 120.00
_symmetry_space_group_name_H-M 'R -3'
_symmetry_Int_Tables_number 148
_symmetry_space_group_name_Hall '-R 3'
loop_
_atom_site_label
_atom_site_fract_x
_atom_site_fract_y
_atom_site_fract_z
Ac1 0.0530 0.8599 0.2973
Ac2 0.0555 0.8047 0.9232
Pr1 0.0000 0.0000 0.0000
Pb1 0.0613 0.8096 0.5969

# 8
# HIrSe3 (PBE-GGA, optimized geometry)
# * calculated density: 7.5 Mg/m³
# * total DFT energy (no corrections): -4.6032 eV per atom
# * ΔE to the lowest computed polymorph: 66 meV/atom
data_HIrSe3
_chemical_formula_sum 'H1 Ir1 Se3'
_cell_length_a 3.8236
_cell_length_b 5.0556
_cell_length_c 5.0666
_cell_angle_alpha 104.50
_cell_angle_beta 92.53
_cell_angle_gamma 91.48
_symmetry_space_group_name_H-M 'P 1'
_symmetry_Int_Tables_number 1
loop_
_symmetry_equiv_pos_as_xyz
'x,y,z'
loop_
_atom_site_label
_atom_site_fract_x
_atom_site_fract_y
_atom_site_fract_z
H1 0.0000 0.0000 0.0000
Ir1 0.9030 0.6609 0.4105
Se1 0.3761 0.3410 0.2703
Se2 0.4075 0.9986 0.5518
Se3 0.7858 0.7359 0.9302

# 9
# AcPBr (PBE-GGA, optimized geometry)
# * calculated density: 5.0 Mg/m³
# * total DFT energy (no corrections): -5.2366 eV per atom
# * ΔE to the lowest computed polymorph: 0 meV/atom
data_AcPBr
_chemical_formula_sum 'Ac4 P4 Br4'
_cell_length_a 8.0942
_cell_length_b 5.0767
_cell_length_c 11.4398
_cell_angle_alpha 90.00
_cell_angle_beta 106.86
_cell_angle_gamma 90.00
_symmetry_space_group_name_H-M 'C 1 2/m 1'
_symmetry_Int_Tables_number 12
loop_
_symmetry_equiv_pos_as_xyz
'x,y,z'
'-x,-y,-z'
'-x,y,-z'
'x,-y,z'
'x+1/2,y+1/2,z'
'-x+1/2,-y+1/2,-z'
'-x+1/2,y+1/2,-z'
'x+1/2,-y+1/2,z'
loop_
_atom_site_label
_atom_site_fract_x
_atom_site_fract_y
_atom_site_fract_z
Ac1 0.1707 0.0000 0.3240
P1 0.0610 0.5000 0.4247
Br1 0.2379 0.0000 0.8314

# 10
# Hg2PCl (PBE-GGA, optimized geometry)
# * calculated density: 7.5 Mg/m³
# * total DFT energy (no corrections): -1.9855 eV per atom
# * ΔE to the lowest computed polymorph: 236 meV/atom
data_Hg2PCl
_chemical_formula_sum 'Hg2 P1 Cl1'
_cell_length_a 3.8179
_cell_length_b 3.8179
_cell_length_c 7.1001
_cell_angle_alpha 90.00
_cell_angle_beta 90.00
_cell_angle_gamma 90.00
_symmetry_space_group_name_H-M 'P 4 m m'
_symmetry_Int_Tables_number 99
loop_
_symmetry_equiv_pos_as_xyz
'x,y,z'
'-y,x,z'
'-x,-y,z'
'y,-x,z'
'-x,y,z'
'y,x,z'
'x,-y,z'
'-y,-x,z'
loop_
_atom_site_label
_atom_site_fract_x
_atom_site_fract_y
_atom_site_fract_z
Hg1 0.0000 0.0000 0.0000
Hg2 0.5000 0.5000 0.3696
P1 0.0000 0.0000 0.3486
Cl1 0.5000 0.5000 0.8208

# 11
# La2NdTm3As6 (PBE-GGA, optimized geometry)
# * calculated density: 7.3 Mg/m³
# * total DFT energy (no corrections): -6.1750 eV per atom
# * DFT formation energy: -1514 meV per atom
data_La2NdTm3As6
_chemical_formula_sum 'La4 Nd2 Tm6 As12'
_cell_length_a 18.3075
_cell_length_b 4.2088
_cell_length_c 8.3994
_cell_angle_alpha 90.00
_cell_angle_beta 103.10
_cell_angle_gamma 90.00
_symmetry_space_group_name_H-M 'C 1 2/m 1'
_symmetry_Int_Tables_number 12
loop_
_symmetry_equiv_pos_as_xyz
'x,y,z'
'-x,-y,-z'
'-x,y,-z'
'x,-y,z'
'x+1/2,y+1/2,z'
'-x+1/2,-y+1/2,-z'
'-x+1/2,y+1/2,-z'
'x+1/2,-y+1/2,z'
loop_
_atom_site_label
_atom_site_fract_x
_atom_site_fract_y
_atom_site_fract_z
La1 0.1661 0.0000 0.3323
Nd1 0.0000 0.5000 0.0000
Tm1 0.0000 0.5000 0.5000
Tm2 0.1666 0.0000 0.8338
As1 0.0040 0.0000 0.7436
As2 0.1628 0.5000 0.5929
As3 0.1693 0.5000 0.0731

# 12
# LiCa2Ta (PBE-GGA, optimized geometry)
# * calculated density: 4.0 Mg/m³
# * total DFT energy (no corrections): -3.6525 eV per atom
# * ΔE to the lowest computed polymorph: 300 meV/atom
# * DFT formation energy: 790 meV per atom
data_LiCa2Ta
_chemical_formula_sum 'Li2 Ca4 Ta2'
_cell_length_a 5.0617
_cell_length_b 5.0617
_cell_length_c 8.6421
_cell_angle_alpha 90.00
_cell_angle_beta 90.00
_cell_angle_gamma 90.00
_symmetry_space_group_name_H-M 'I 4/m m m'
_symmetry_Int_Tables_number 139
_symmetry_space_group_name_Hall '-I 4 2'
loop_
_atom_site_label
_atom_site_fract_x
_atom_site_fract_y
_atom_site_fract_z
Li1 0.0000 0.0000 0.0000
Ca1 0.0000 0.5000 0.2500
Ta1 0.0000 0.0000 0.5000

# 13
# MgInCoBr2 (PBE-GGA, optimized geometry)
# * calculated density: 4.0 Mg/m³
# * total DFT energy (no corrections): -2.8377 eV per atom
data_MgInCoBr2
_chemical_formula_sum 'Mg1 In1 Co1 Br2'
_cell_length_a 5.1961
_cell_length_b 5.1961
_cell_length_c 5.4833
_cell_angle_alpha 90.00
_cell_angle_beta 90.00
_cell_angle_gamma 90.00
_symmetry_space_group_name_H-M 'P 4/m m m'
_symmetry_Int_Tables_number 123
_symmetry_space_group_name_Hall '-P 4 2'
loop_
_atom_site_label
_atom_site_fract_x
_atom_site_fract_y
_atom_site_fract_z
Mg1 0.0000 0.0000 0.0000
In1 0.5000 0.5000 0.5000
Co1 0.0000 0.0000 0.5000
Br1 0.0000 0.5000 0.0000

# 14
# TaTeSeN2 (PBE-GGA, optimized geometry)
# * calculated density: 7.6 Mg/m³
# * total DFT energy (no corrections): -6.6970 eV per atom
# * ΔE to the lowest computed polymorph: 0 meV/atom
data_TaTeSeN2
_chemical_formula_sum 'Ta1 Te1 Se1 N2'
_cell_length_a 4.0694
_cell_length_b 4.0694
_cell_length_c 5.4764
_cell_angle_alpha 90.00
_cell_angle_beta 90.00
_cell_angle_gamma 90.00
_symmetry_space_group_name_H-M 'P 4/m m m'
_symmetry_Int_Tables_number 123
_symmetry_space_group_name_Hall '-P 4 2'
loop_
_atom_site_label
_atom_site_fract_x
_atom_site_fract_y
_atom_site_fract_z
Ta1 0.0000 0.0000 0.0000
Te1 0.5000 0.5000 0.5000
Se1 0.0000 0.0000 0.5000
N1 0.0000 0.5000 0.0000

# 15
# Li3Ce2Hg4 (PBE-GGA, optimized geometry)
# * calculated density: 9.0 Mg/m³
# * total DFT energy (no corrections): -2.3941 eV per atom
# * ΔE to the lowest computed polymorph: 0 meV/atom
# * DFT formation energy: -303 meV per atom
data_Li3Ce2Hg4
_chemical_formula_sum 'Li6 Ce4 Hg8'
_cell_length_a 10.1592
_cell_length_b 4.9219
_cell_length_c 8.5110
_cell_angle_alpha 90.00
_cell_angle_beta 107.08
_cell_angle_gamma 90.00
_symmetry_space_group_name_H-M 'C 1 2/m 1'
_symmetry_Int_Tables_number 12
loop_
_symmetry_equiv_pos_as_xyz
'x,y,z'
'-x,-y,-z'
'-x,y,-z'
'x,-y,z'
'x+1/2,y+1/2,z'
'-x+1/2,-y+1/2,-z'
'-x+1/2,y+1/2,-z'
'x+1/2,-y+1/2,z'
loop_
_atom_site_label
_atom_site_fract_x
_atom_site_fract_y
_atom_site_fract_z
Li1 0.0000 0.0000 0.0000
Li2 0.1262 0.5000 0.5269
Ce1 0.2493 0.5000 0.2201
Hg1 0.0758 0.5000 0.8432
Hg2 0.0885 0.0000 0.3659

# 16
# PaTlSiO6 (PBE-GGA, optimized geometry)
# * calculated density: 8.0 Mg/m³
# * total DFT energy (no corrections): -7.4850 eV per atom
data_PaTlSiO6
_chemical_formula_sum 'Pa1 Tl1 Si1 O6'
_cell_length_a 5.3465
_cell_length_b 5.3465
_cell_length_c 4.7170
_cell_angle_alpha 90.00
_cell_angle_beta 90.00
_cell_angle_gamma 120.00
_symmetry_space_group_name_H-M 'P 3 1 2'
_symmetry_Int_Tables_number 149
loop_
_symmetry_equiv_pos_as_xyz
'x,y,z'
'-y,x-y,z'
'-x+y,-x,z'
'-y,-x,-z'
'-x+y,y,-z'
'x,x-y,-z'
loop_
_atom_site_label
_atom_site_fract_x
_atom_site_fract_y
_atom_site_fract_z
Pa1 0.0000 0.0000 0.0000
Tl1 0.6667 0.3333 0.5000
Si1 0.3333 0.6667 0.0000
O1 0.0517 0.3813 0.2171

# 17
# CeGdScGa (PBE-GGA, optimized geometry)
# * calculated density: 6.7 Mg/m³
# * total DFT energy (no corrections): -7.4736 eV per atom
# * DFT formation energy: -130 meV per atom
data_CeGdScGa
_chemical_formula_sum 'Ce4 Gd4 Sc4 Ga4'
_cell_length_a 7.4128
_cell_length_b 7.4128
_cell_length_c 7.4128
_cell_angle_alpha 90.00
_cell_angle_beta 90.00
_cell_angle_gamma 90.00
_symmetry_space_group_name_H-M 'F -4 3 m'
_symmetry_Int_Tables_number 216
_symmetry_space_group_name_Hall 'F -4 2 3'
loop_
_atom_site_label
_atom_site_fract_x
_atom_site_fract_y
_atom_site_fract_z
Ce1 0.0000 0.0000 0.0000
Gd1 0.0000 0.0000 0.5000
Sc1 0.2500 0.2500 0.7500
Ga1 0.2500 0.2500 0.2500

# 18
# CaLa2Mn (PBE-GGA, optimized geometry)
# * calculated density: 4.9 Mg/m³
# * total DFT energy (no corrections): -4.8470 eV per atom
# * ΔE to the lowest computed polymorph: 238 meV/atom
# * DFT formation energy: 410 meV per atom
data_CaLa2Mn
_chemical_formula_sum 'Ca2 La4 Mn2'
_cell_length_a 6.7248
_cell_length_b 11.6724
_cell_length_c 3.5174
_cell_angle_alpha 90.00
_cell_angle_beta 113.51
_cell_angle_gamma 90.00
_symmetry_space_group_name_H-M 'C 1 2/m 1'
_symmetry_Int_Tables_number 12
loop_
_symmetry_equiv_pos_as_xyz
'x,y,z'
'-x,-y,-z'
'-x,y,-z'
'x,-y,z'
'x+1/2,y+1/2,z'
'-x+1/2,-y+1/2,-z'
'-x+1/2,y+1/2,-z'
'x+1/2,-y+1/2,z'
loop_
_atom_site_label
_atom_site_fract_x
_atom_site_fract_y
_atom_site_fract_z
Ca1 0.0000 0.0000 0.0000
La1 0.2500 0.2500 0.5000
Mn1 0.0000 0.5000 0.0000

# 19
# Sm5Sb2H2 (PBE-GGA, optimized geometry)
# * calculated density: 7.5 Mg/m³
# * total DFT energy (no corrections): -4.8408 eV per atom
data_Sm5Sb2H2
_chemical_formula_sum 'Sm10 Sb4 H4'
_cell_length_a 12.9819
_cell_length_b 5.3584
_cell_length_c 6.7458
_cell_angle_alpha 90.00
_cell_angle_beta 109.79
_cell_angle_gamma 90.00
_symmetry_space_group_name_H-M 'C 1 2/m 1'
_symmetry_Int_Tables_number 12
loop_
_symmetry_equiv_pos_as_xyz
'x,y,z'
'-x,-y,-z'
'-x,y,-z'
'x,-y,z'
'x+1/2,y+1/2,z'
'-x+1/2,-y+1/2,-z'
'-x+1/2,y+1/2,-z'
'x+1/2,-y+1/2,z'
loop_
_atom_site_label
_atom_site_fract_x
_atom_site_fract_y
_atom_site_fract_z
Sm1 0.0000 0.0000 0.0000
Sm2 0.1502 0.0000 0.5564
Sm3 0.1630 0.5000 0.8806
Sb1 0.0961 0.5000 0.3096
H1 0.1574 0.0000 0.8942

# 20
# KI2F (PBE-GGA, optimized geometry)
# * calculated density: 2.9 Mg/m³
# * total DFT energy (no corrections): -2.3271 eV per atom
# * ΔE to the lowest computed polymorph: 0 meV/atom
data_KI2F
_chemical_formula_sum 'K4 I8 F4'
_cell_length_a 5.8158
_cell_length_b 5.8158
_cell_length_c 21.4458
_cell_angle_alpha 90.00
_cell_angle_beta 90.00
_cell_angle_gamma 90.00
_symmetry_space_group_name_H-M 'I -4 2 d'
_symmetry_Int_Tables_number 122
_symmetry_space_group_name_Hall 'I -4 2bw'
loop_
_atom_site_label
_atom_site_fract_x
_atom_site_fract_y
_atom_site_fract_z
K1 0.0000 0.0000 0.0000
I1 0.0331 0.2500 0.6250
F1 0.0000 0.0000 0.5000